# 1
This record from Alexandria describes crystalline CaTl2In at its relaxed geometry. The functional is GGA-PBE.

Space group: R3m, No. 160
Energy of formation from the pure elements, eV per atom: -0.11

Unit cell a=7.6245 b=7.6245 c=7.6245 alpha=34.67 beta=34.67 gamma=34.67
Atoms (fractional coordinates):
Ca: 0.0000 0.0000 0.0000
Tl: 0.4222 0.4222 0.4222
Tl: 0.5718 0.5718 0.5718
In: 0.8278 0.8278 0.8278

=====

# 2
This record from Alexandria describes crystalline NaCuO2 at its relaxed geometry. The functional is GGA-PBE.

Space group: I-42d, No. 122
E_form (uncorrected), eV/atom: -0.773

Unit cell a=5.7573 b=5.7573 c=5.7573 alpha=129.80 beta=129.80 gamma=73.73
Atoms (fractional coordinates):
Na: 0.0000 0.0000 0.0000
Na: 0.7500 0.2500 0.5000
Cu: 0.2500 0.7500 0.5000
Cu: 0.5000 0.5000 0.0000
O: 0.2089 0.6250 0.0839
O: 0.3750 0.4589 0.5839
O: 0.5411 0.1250 0.9161
O: 0.8750 0.7911 0.4161

=====

# 3
This record from Alexandria describes crystalline Cd2HgRh at its relaxed geometry. The functional is GGA-PBE.

Space group: Cmmm, No. 65
Energy of formation from the pure elements, eV per atom: -0.01

Unit cell a=4.9876 b=4.9876 c=3.2426 alpha=90.00 beta=90.00 gamma=108.12
Atoms (fractional coordinates):
Cd: 0.0000 0.5000 0.0000
Cd: 0.5000 0.0000 0.0000
Hg: 0.0000 0.0000 0.5000
Rh: 0.5000 0.5000 0.5000

=====

# 4
This record from Alexandria describes crystalline Ce2AsF2 at its relaxed geometry. The functional is GGA-PBE.

Space group: P2_1/m, No. 11
E_form (uncorrected), eV/atom: -2.610

Unit cell a=4.0103 b=4.5341 c=12.0278 alpha=90.00 beta=90.65 gamma=90.00
Atoms (fractional coordinates):
Ce: 0.2479 0.2500 0.3992
Ce: 0.2498 0.7500 0.1489
Ce: 0.7502 0.2500 0.8511
Ce: 0.7521 0.7500 0.6008
As: 0.2522 0.2500 0.6542
As: 0.7478 0.7500 0.3458
F: 0.2374 0.2500 0.1893
F: 0.2539 0.2500 0.9608
F: 0.7461 0.7500 0.0392
F: 0.7626 0.7500 0.8107

=====

# 5
This record from Alexandria describes crystalline MnRe2Ru at its relaxed geometry. The functional is GGA-PBE.

Space group: R-3m, No. 166
Excess energy over the best structure of this formula in the dataset, meV/atom: 104.9
Energy of formation from the pure elements, eV per atom: 0.11

Unit cell a=8.9237 b=8.9237 c=8.9237 alpha=17.41 beta=17.41 gamma=17.41
Atoms (fractional coordinates):
Mn: 0.0000 0.0000 0.0000
Re: 0.2533 0.2533 0.2533
Re: 0.7467 0.7467 0.7467
Ru: 0.5000 0.5000 0.5000

=====

# 6
This record from Alexandria describes crystalline PuNb2Si4 at its relaxed geometry. The functional is GGA-PBE.

Space group: Immm, No. 71
E_form (uncorrected), eV/atom: -0.477

Unit cell a=8.8304 b=8.8304 c=8.8304 alpha=156.40 beta=155.02 gamma=34.63
Atoms (fractional coordinates):
Pu: 0.0000 0.0000 0.0000
Nb: 0.3089 0.8089 0.5000
Nb: 0.6911 0.1911 0.5000
Si: 0.1536 0.6536 0.5000
Si: 0.4281 0.4281 0.0000
Si: 0.5719 0.5719 0.0000
Si: 0.8464 0.3464 0.5000

=====

What did the second record say?
This record from Alexandria describes crystalline NaCuO2 at its relaxed geometry. The functional is GGA-PBE.

Space group: I-42d, No. 122
E_form (uncorrected), eV/atom: -0.773

Unit cell a=5.7573 b=5.7573 c=5.7573 alpha=129.80 beta=129.80 gamma=73.73
Atoms (fractional coordinates):
Na: 0.0000 0.0000 0.0000
Na: 0.7500 0.2500 0.5000
Cu: 0.2500 0.7500 0.5000
Cu: 0.5000 0.5000 0.0000
O: 0.2089 0.6250 0.0839
O: 0.3750 0.4589 0.5839
O: 0.5411 0.1250 0.9161
O: 0.8750 0.7911 0.4161